# 1
## Li2LaCr (GGA-PBE)

Data for Li2LaCr after structural relaxation.

Properties
* formation energy from the elements: 0.4727 eV per atom
* D(E_F): 3.39 states/eV/f.u.
* ΔE to the lowest computed polymorph: 121 meV/atom
* M_tot: 3.2 μB per cell

abc: 6.1543 6.1543 3.2495
angles: 77.31 77.31 122.88
Site moments in Bohr magnetons follow the coordinates.
Element x y z (fractional)
Li 0.0000 0.0000 0.0000  -0.03
Cr 0.5000 0.0000 0.5000  3.45
La 0.0000 0.5000 0.5000  -0.23
Li 0.5000 0.5000 0.0000  -0.03

***

# 2
## Ta2TeRh (GGA-PBE)

Data for Ta2TeRh after structural relaxation.

Properties
* formation energy from raw total energies: 0.12 eV/atom
* D(E_F): 3.54 states/eV/f.u.
* M_tot: 0.0 μB per cell

abc: 5.2144 5.2144 5.2144
angles: 134.19 134.19 66.78
Element x y z (fractional)
Ta 0.0000 0.0000 0.0000
Ta 0.2500 0.7500 0.5000
Rh 0.7500 0.2500 0.5000
Te 0.5000 0.5000 0.0000

***

# 3
## CuSb2SI (GGA-PBE)

Data for CuSb2SI after structural relaxation.

Properties
* formation energy from raw total energies: 0.87 eV/atom
* D(E_F): 4.29 states/eV/f.u.
* ΔE to the lowest computed polymorph: 239 meV/atom
* M_tot: 0.0 μB per cell

abc: 5.2077 5.2077 5.5692
angles: 90.00 90.00 90.00
Element x y z (fractional)
I 0.0000 0.0000 0.5000
S 0.0000 0.0000 0.0000
Cu 0.5000 0.5000 0.5000
Sb 0.0000 0.5000 0.0000
Sb 0.5000 0.0000 0.0000

***

# 4
## CsPu2Se4 (GGA-PBE)

Data for CsPu2Se4 after structural relaxation.

Properties
* formation energy from raw total energies: -1.35 eV/atom
* D(E_F): 20.13 states/eV/f.u.
* M_tot: 18.0 μB per cell

abc: 4.2479 7.3845 14.6367
angles: 90.00 90.00 106.72
Site moments in Bohr magnetons follow the coordinates.
Element x y z (fractional)
Se 0.7601 0.5202 0.1025  -0.18
Pu 0.8652 0.7304 0.5633  4.91
Pu 0.1348 0.2696 0.4367  4.91
Se 0.2399 0.4798 0.8975  -0.18
Se 0.0982 0.1965 0.2500  -0.24
Cs 0.6035 0.2070 0.7500  -0.01
Cs 0.3965 0.7930 0.2500  -0.01
Se 0.9018 0.8035 0.7500  -0.24
Se 0.2399 0.4798 0.6025  -0.18
Se 0.5000 0.0000 0.0000  -0.14
Pu 0.1348 0.2696 0.0633  4.91
Pu 0.8652 0.7304 0.9367  4.91
Se 0.7601 0.5202 0.3975  -0.18
Se 0.5000 0.0000 0.5000  -0.14

***

# 5
## Pr2SmEr7 (GGA-PBE)

Data for Pr2SmEr7 after structural relaxation.

Properties
* formation energy from the elements: 0.1622 eV per atom
* D(E_F): 16.26 states/eV/f.u.
* ΔE to the lowest computed polymorph: 107 meV/atom
* M_tot: 0.0 μB per cell

abc: 3.5141 14.7819 14.7819
angles: 154.66 90.00 90.00
Element x y z (fractional)
Sm 0.0000 0.0000 0.0000
Er 0.5000 0.6552 0.8515
Pr 0.5000 0.7079 0.2921
Er 0.5000 0.5000 0.5000
Er 0.5000 0.8515 0.6552
Er 0.0000 0.8160 0.1840
Pr 0.5000 0.2921 0.7079
Er 0.5000 0.3448 0.1485
Er 0.5000 0.1485 0.3448
Er 0.0000 0.1840 0.8160

***

# 6
## Na2SrTlF8 (GGA-PBE)

Data for Na2SrTlF8 after structural relaxation.

Properties
* formation energy from raw total energies: -2.50 eV/atom
* D(E_F): 8.38 states/eV/f.u.
* M_tot: 1.1 μB per cell

abc: 4.1168 5.3666 7.9601
angles: 90.00 90.00 90.05
Site moments in Bohr magnetons follow the coordinates.
Element x y z (fractional)
F 0.4998 0.7422 0.5000  0.20
Sr 0.0000 0.0000 0.5000  0.00
F 0.5002 0.2578 0.5000  0.20
Tl 0.0000 0.0000 0.0000  -0.01
F 0.0002 0.7555 0.2272  0.09
Na 0.5000 0.5000 0.2406  0.00
F 0.4998 0.2318 0.0000  0.14
F 0.9998 0.2445 0.7728  0.09
F 0.5002 0.7682 0.0000  0.14
Na 0.5000 0.5000 0.7594  0.00
F 0.9998 0.2445 0.2272  0.09
F 0.0002 0.7555 0.7728  0.09

***

# 7
## LaNi3Sb (GGA-PBE)

Data for LaNi3Sb after structural relaxation.

Properties
* formation energy from raw total energies: 0.99 eV/atom
* D(E_F): 3.72 states/eV/f.u.
* ΔE to the lowest computed polymorph: 964 meV/atom
* M_tot: 0.0 μB per cell

abc: 4.7547 4.7547 4.7547
angles: 90.00 90.00 90.00
Element x y z (fractional)
Ni 0.0000 0.0000 0.5000
Ni 0.5000 0.0000 0.0000
Sb 0.5000 0.5000 0.5000
Ni 0.0000 0.5000 0.0000
La 0.0000 0.0000 0.0000

***

# 8
## MnSbTe2Pd (GGA-PBE)

Data for MnSbTe2Pd after structural relaxation.

Properties
* formation energy from raw total energies: 1.09 eV/atom
* D(E_F): 9.23 states/eV/f.u.
* ΔE to the lowest computed polymorph: 556 meV/atom
* M_tot: 0.1 μB per cell

abc: 5.3312 5.0351 5.3312
angles: 90.00 90.00 90.00
Site moments in Bohr magnetons follow the coordinates.
Element x y z (fractional)
Pd 0.0000 0.0000 0.0000  -0.03
Te 0.5000 0.0000 0.0000  0.00
Sb 0.0000 0.5000 0.0000  -0.08
Mn 0.5000 0.5000 0.5000  0.29
Te 0.0000 0.0000 0.5000  0.01

***

# 9
## Cs2SrTeF6 (GGA-PBE)

Data for Cs2SrTeF6 after structural relaxation.

Properties
* formation energy from raw total energies: -2.58 eV/atom
* D(E_F): 0.00 states/eV/f.u.
* M_tot: 2.0 μB per cell

abc: 7.2230 7.2230 6.8514
angles: 58.19 58.19 90.00
Site moments in Bohr magnetons follow the coordinates.
Element x y z (fractional)
F 0.2671 0.7329 0.0000  0.09
F 0.7329 0.7329 0.0000  0.09
Cs 0.2500 0.7500 0.5000  0.00
F 0.7680 0.7680 0.4641  0.04
Sr 0.5000 0.5000 0.0000  0.01
Te 0.0000 0.0000 0.0000  0.91
F 0.7329 0.2671 0.0000  0.09
Cs 0.7500 0.2500 0.5000  0.00
F 0.2320 0.2320 0.5359  0.04
F 0.2671 0.2671 0.0000  0.09

***

# 10
## Pm3Er4Bi4 (GGA-PBE)

Data for Pm3Er4Bi4 after structural relaxation.

Properties
* formation energy from the elements: -0.4976 eV per atom
* D(E_F): 11.68 states/eV/f.u.
* M_tot: 0.0 μB per cell

abc: 4.3366 7.4213 11.3915
angles: 90.00 90.00 106.99
Element x y z (fractional)
Er 0.0646 0.1292 0.7578
Pm 0.3651 0.7301 0.6491
Bi 0.7281 0.4563 0.2187
Er 0.5903 0.1806 0.0000
Er 0.6653 0.3307 0.5000
Bi 0.9940 0.9880 0.5000
Er 0.0646 0.1292 0.2422
Bi 0.7281 0.4563 0.7813
Pm 0.3651 0.7301 0.3509
Bi 0.9452 0.8903 0.0000
Pm 0.2880 0.5761 0.0000

***

# 11
## Co2SiTc (GGA-PBE)

Data for Co2SiTc after structural relaxation.

Properties
* formation energy from raw total energies: -0.16 eV/atom
* D(E_F): 5.50 states/eV/f.u.
* M_tot: 2.2 μB per cell

abc: 2.9359 4.0013 4.0732
angles: 90.00 90.00 90.00
Site moments in Bohr magnetons follow the coordinates.
Element x y z (fractional)
Co 0.5000 0.5000 0.0000  1.37
Si 0.5000 0.0000 0.5000  0.00
Tc 0.0000 0.5000 0.5000  0.11
Co 0.0000 0.0000 0.0000  0.75

***

# 12
## BaMg2W (GGA-PBE)

Data for BaMg2W after structural relaxation.

Properties
* formation energy from the elements: 1.0359 eV per atom
* D(E_F): 4.39 states/eV/f.u.
* ΔE to the lowest computed polymorph: 418 meV/atom
* M_tot: 3.1 μB per cell

abc: 5.3359 5.3359 5.3359
angles: 120.24 120.24 89.59
Site moments in Bohr magnetons follow the coordinates.
Element x y z (fractional)
Mg 0.0000 0.0000 0.0000  -0.02
Mg 0.2500 0.7500 0.5000  -0.02
Ba 0.7500 0.2500 0.5000  0.10
W 0.5000 0.5000 0.0000  2.30

***

# 13
## LiTi2GeN (GGA-PBE)

Data for LiTi2GeN after structural relaxation.

Properties
* formation energy from raw total energies: -0.92 eV/atom
* D(E_F): 3.04 states/eV/f.u.
* M_tot: 0.0 μB per cell

abc: 4.0848 4.0848 3.9147
angles: 90.00 90.00 90.00
Element x y z (fractional)
Ti 0.0000 0.5000 0.0000
Li 0.0000 0.0000 0.5000
N 0.0000 0.0000 0.0000
Ti 0.5000 0.0000 0.0000
Ge 0.5000 0.5000 0.5000

***

# 14
## Mg2TlHg (GGA-PBE)

Data for Mg2TlHg after structural relaxation.

Properties
* formation energy from the elements: -0.0964 eV per atom
* D(E_F): 1.38 states/eV/f.u.
* M_tot: 0.0 μB per cell

abc: 3.4910 3.4910 9.3661
angles: 79.26 79.26 60.00
Element x y z (fractional)
Mg 0.0778 0.0778 0.7666
Tl 0.4998 0.4998 0.5006
Mg 0.2553 0.2553 0.2340
Hg 0.6670 0.6670 0.9989

***

# 15
## Tb8Sm3Tm3 (GGA-PBE)

Data for Tb8Sm3Tm3 after structural relaxation.

Properties
* formation energy from the elements: 0.1078 eV per atom
* D(E_F): 21.22 states/eV/f.u.
* M_tot: 0.0 μB per cell

abc: 5.6312 9.6362 9.6362
angles: 101.72 73.02 73.02
Element x y z (fractional)
Tb 0.8411 0.5563 0.7618
Tm 0.7965 0.2036 0.2036
Tb 0.6593 0.5619 0.1191
Tb 0.8411 0.7618 0.5563
Sm 0.0000 0.1808 0.8192
Tm 0.2035 0.7964 0.7964
Sm 0.5000 0.0000 0.0000
Tm 0.5000 0.5000 0.5000
Tb 0.1589 0.2382 0.4437
Tb 0.1589 0.4437 0.2382
Sm 0.0000 0.8192 0.1808
Tb 0.3407 0.4381 0.8809
Tb 0.6593 0.1191 0.5619
Tb 0.3407 0.8809 0.4381

***

# 16
## CaDy2Br (GGA-PBE)

Data for CaDy2Br after structural relaxation.

Properties
* formation energy from raw total energies: -0.26 eV/atom
* D(E_F): 6.16 states/eV/f.u.
* M_tot: 0.0 μB per cell

abc: 3.5610 3.5610 11.6832
angles: 81.23 81.23 60.00
Element x y z (fractional)
Dy 0.0984 0.0984 0.7047
Dy 0.9016 0.9016 0.2953
Ca 0.0000 0.0000 0.0000
Br 0.5000 0.5000 0.5000

***

# 17
## MgSeN2 (GGA-PBE)

Data for MgSeN2 after structural relaxation.

Properties
* formation energy from raw total energies: 0.92 eV/atom
* D(E_F): 1.89 states/eV/f.u.
* ΔE to the lowest computed polymorph: 413 meV/atom
* M_tot: 0.0 μB per cell

abc: 6.4266 6.4266 6.4266
angles: 29.18 29.18 29.18
Element x y z (fractional)
Se 0.5000 0.5000 0.5000
N 0.8931 0.8931 0.8931
N 0.1069 0.1069 0.1069
Mg 0.0000 0.0000 0.0000

***

# 18
## TaPd3Au (GGA-PBE)

Data for TaPd3Au after structural relaxation.

Properties
* formation energy from the elements: -0.3002 eV per atom
* D(E_F): 1.97 states/eV/f.u.
* ΔE to the lowest computed polymorph: 0 meV/atom
* M_tot: 0.0 μB per cell

abc: 4.6635 5.5575 7.2539
angles: 111.08 108.75 90.00
Element x y z (fractional)
Au 0.3864 0.6260 0.7728
Pd 0.3781 0.1225 0.7561
Pd 0.0015 0.7550 0.0031
Ta 0.1849 0.1722 0.3697
Pd 0.1931 0.6865 0.3862
Pd 0.6219 0.8775 0.2439
Pd 0.8069 0.3135 0.6138
Ta 0.8151 0.8278 0.6303
Pd 0.9985 0.2450 0.9969
Au 0.6136 0.3740 0.2272

***

# 19
## Pr3Ho8Th2 (GGA-PBE)

Data for Pr3Ho8Th2 after structural relaxation.

Properties
* formation energy from the elements: 0.0762 eV per atom
* D(E_F): 18.71 states/eV/f.u.
* M_tot: 0.0 μB per cell

abc: 14.3695 9.7332 15.8177
angles: 101.14 72.94 155.74
Element x y z (fractional)
Ho 0.4848 0.2684 0.3905
Pr 0.4955 0.5436 0.1433
Ho 0.0390 0.9625 0.7715
Ho 0.9703 0.1658 0.6726
Pr 0.0014 0.5526 0.6449
Ho 0.5120 0.3863 0.6132
Th 0.5364 0.8416 0.8254
Ho 0.4589 0.0889 0.9510
Th 0.4636 0.1584 0.1746
Ho 0.5411 0.9111 0.0490
Ho 0.9610 0.0375 0.2285
Pr 0.0000 0.0000 0.0000
Ho 0.9856 0.2725 0.8907
Ho 0.5152 0.7316 0.6095
Th 0.0312 0.8985 0.5517
Ho 0.0297 0.8342 0.3274
Pr 0.9986 0.4474 0.3551
Ho 0.4880 0.6137 0.3868
Ho 0.0144 0.7275 0.1093
Ho 0.4734 0.0535 0.7281
Pr 0.5045 0.4564 0.8567
Ho 0.0077 0.3797 0.1156
Pr 0.5000 0.0000 0.5000
Ho 0.5266 0.9465 0.2719
Th 0.9688 0.1015 0.4483
Ho 0.9923 0.6203 0.8844

***

# 20
## CrCd2Au (GGA-PBE)

Data for CrCd2Au after structural relaxation.

Properties
* formation energy from the elements: 0.1042 eV per atom
* D(E_F): 1.88 states/eV/f.u.
* ΔE to the lowest computed polymorph: 3 meV/atom
* M_tot: 3.9 μB per cell

abc: 4.2346 4.2346 4.2200
angles: 90.00 90.00 90.10
Site moments in Bohr magnetons follow the coordinates.
Element x y z (fractional)
Cr 0.5000 0.0000 0.5000  3.64
Au 0.0000 0.5000 0.5000  -0.01
Cd 0.0000 0.0000 0.0000  -0.02
Cd 0.5000 0.5000 0.0000  -0.02

***

# 21
## CuGePd (GGA-PBE)

Data for CuGePd after structural relaxation.

Properties
* formation energy from the elements: -0.1172 eV per atom
* D(E_F): 2.16 states/eV/f.u.
* M_tot: 0.0 μB per cell

abc: 4.1069 4.1069 4.1069
angles: 60.00 60.00 60.00
Element x y z (fractional)
Pd 0.5000 0.5000 0.5000
Ge 0.2500 0.2500 0.2500
Cu 0.0000 0.0000 0.0000

***

# 22
## Sm3Ir (GGA-PBE)

Data for Sm3Ir after structural relaxation.

Properties
* formation energy from the elements: -0.4256 eV per atom
* D(E_F): 4.20 states/eV/f.u.
* M_tot: 0.0 μB per cell

abc: 6.4368 11.8180 11.8180
angles: 90.00 90.00 90.00
Element x y z (fractional)
Sm 0.5551 0.3630 0.9182
Sm 0.0551 0.5818 0.8630
Sm 0.5551 0.6370 0.0818
Sm 0.9449 0.1370 0.5818
Ir 0.7474 0.3086 0.4317
Sm 0.0491 0.2840 0.8440
Sm 0.5491 0.3440 0.2160
Sm 0.0551 0.4182 0.1370
Sm 0.2279 0.6316 0.5575
Sm 0.7279 0.0575 0.8684
Ir 0.7526 0.8086 0.9317
Sm 0.9509 0.1560 0.2840
Ir 0.7526 0.1914 0.0683
Sm 0.9509 0.8440 0.7160
Sm 0.0491 0.7160 0.1560
Ir 0.2474 0.0683 0.8086
Ir 0.2526 0.4317 0.6914
Sm 0.4509 0.7840 0.3440
Sm 0.5491 0.6560 0.7840
Sm 0.7721 0.5575 0.3684
Sm 0.7279 0.9425 0.1316
Sm 0.4449 0.0818 0.3630
Sm 0.9449 0.8630 0.4182
Sm 0.2721 0.8684 0.9425
Ir 0.2474 0.9317 0.1914
Ir 0.2526 0.5683 0.3086
Sm 0.4449 0.9182 0.6370
Sm 0.4509 0.2160 0.6560
Ir 0.7474 0.6914 0.5683
Sm 0.2721 0.1316 0.0575
Sm 0.2279 0.3684 0.4425
Sm 0.7721 0.4425 0.6316

***

# 23
## Pr5Sm2Y5 (GGA-PBE)

Data for Pr5Sm2Y5 after structural relaxation.

Properties
* formation energy from the elements: 0.0152 eV per atom
* D(E_F): 17.77 states/eV/f.u.
* M_tot: 0.0 μB per cell

abc: 5.1531 8.1370 11.5070
angles: 115.16 90.00 108.46
Element x y z (fractional)
Pr 0.4158 0.8317 0.7494
Y 0.8324 0.6648 0.4989
Y 0.1676 0.3352 0.5011
Pr 0.6665 0.3330 0.9991
Pr 0.5842 0.1683 0.2506
Y 0.2507 0.5014 0.2516
Pr 0.3335 0.6670 0.0009
Y 0.7493 0.4986 0.7484
Y 0.0000 0.0000 0.0000
Sm 0.0830 0.1660 0.7490
Sm 0.9170 0.8340 0.2510
Pr 0.5000 0.0000 0.5000